Compound: Rb4Np3CrTe8
Source: Alexandria
Functional: GGA-PBE
Structure: relaxed

## Properties
Total moment ... 15.0 μB/f.u.
Fermi-level density of states ... 26.04 states/eV/f.u.
Symmetry ... R-3m (166)
E_form (uncorrected) ... -0.771 eV/atom

a = 9.977 Å, b = 9.977 Å, c = 9.977 Å
α = 53.69°, β = 53.69°, γ = 53.69°
Fractional coordinates of all 16 atoms:
Rb: 0.000 0.000 0.000
Rb: 0.000 0.500 0.500
Rb: 0.500 0.000 0.500
Rb: 0.500 0.500 0.000
Np: 0.000 0.000 0.500
Np: 0.000 0.500 0.000
Np: 0.500 0.000 0.000
Cr: 0.500 0.500 0.500
Te: 0.234 0.234 0.234
Te: 0.247 0.722 0.722
Te: 0.278 0.278 0.753
Te: 0.278 0.753 0.278
Te: 0.722 0.247 0.722
Te: 0.722 0.722 0.247
Te: 0.753 0.278 0.278
Te: 0.766 0.766 0.766



Compound: ZrVBr
Source: Alexandria
Functional: GGA-PBE
Structure: relaxed

## Properties
Relative energy among the computed polymorphs ... 14.9 kJ per mole of atoms
Total moment ... 0.0 μB/f.u.
Fermi-level density of states ... 2.33 states/eV/f.u.
Symmetry ... Cm (8)
E_form (uncorrected) ... -0.138 eV/atom

a = 14.047 Å, b = 3.416 Å, c = 5.575 Å
α = 90.00°, β = 98.13°, γ = 90.00°
Fractional coordinates of all 12 atoms:
Zr: 0.000 0.000 0.000
Zr: 0.063 0.500 0.486
Zr: 0.500 0.500 0.000
Zr: 0.563 0.000 0.486
V: 0.377 0.000 0.177
V: 0.413 0.500 0.484
V: 0.877 0.500 0.177
V: 0.913 0.000 0.484
Br: 0.185 0.000 0.263
Br: 0.297 0.500 0.812
Br: 0.685 0.500 0.263
Br: 0.797 0.000 0.812



Compound: Mg2SiB
Source: Alexandria
Functional: GGA-PBE
Structure: relaxed

## Properties
Relative energy among the computed polymorphs ... 7.4 kJ per mole of atoms
Total moment ... 0.0 μB/f.u.
Fermi-level density of states ... 1.57 states/eV/f.u.
Symmetry ... Cm (8)
E_form (uncorrected) ... 0.075 eV/atom

a = 14.402 Å, b = 3.406 Å, c = 5.751 Å
α = 90.00°, β = 112.93°, γ = 90.00°
Fractional coordinates of all 16 atoms:
Mg: 0.000 0.000 0.000
Mg: 0.022 0.000 0.526
Mg: 0.191 0.500 0.301
Mg: 0.344 0.000 0.107
Mg: 0.500 0.500 0.000
Mg: 0.522 0.500 0.526
Mg: 0.691 0.000 0.301
Mg: 0.844 0.500 0.107
Si: 0.187 0.500 0.806
Si: 0.364 0.000 0.623
Si: 0.687 0.000 0.806
Si: 0.864 0.500 0.623
B: 0.157 0.000 0.953
B: 0.316 0.500 0.735
B: 0.657 0.500 0.953
B: 0.816 0.000 0.735



Compound: SrSbTe3
Source: Alexandria
Functional: GGA-PBE
Structure: relaxed

## Properties
Relative energy among the computed polymorphs ... 100.7 kJ per mole of atoms
Total moment ... 0.0 μB/f.u.
Fermi-level density of states ... 9.70 states/eV/f.u.
Symmetry ... Pm-3m (221)
E_form (uncorrected) ... 0.425 eV/atom

a = 6.057 Å, b = 6.057 Å, c = 6.057 Å
α = 90.00°, β = 90.00°, γ = 90.00°
Fractional coordinates of all 5 atoms:
Sr: 0.000 0.000 0.000
Sb: 0.500 0.500 0.500
Te: 0.000 0.000 0.500
Te: 0.000 0.500 0.000
Te: 0.500 0.000 0.000



> What is the E_form (uncorrected) in the first record?

-0.771 eV/atom



> What is the formula in the second record?

ZrVBr



> Which value of total moment does entry 1 give?

15.0 μB/f.u.